Here is a relaxed structure of ScTaTe2 from Alexandria via LeMat-Bulk. Energies are from PBE-GGA.

POSCAR file:
```
ScTaTe2
1.0
3.6768 0.0000 0.0000
0.0000 3.6768 0.0000
0.0000 0.0000 7.1895
Te Sc Ta
2 1 1
direct
0.5000 0.5000 0.3320
0.0000 0.0000 0.9227
0.0000 0.0000 0.5039
0.5000 0.5000 0.7413
```

## Properties
excess energy over the best structure of this formula in the dataset	0	meV/atom
SG	No. 99
raw formation energy	-540	meV/atom
Fermi-level density of states	2.9	states/eV/cell